Entry 1:
Mg3Hg: relaxed, GGA-PBEsol.

```
data_Mg3Hg
_chemical_formula_sum 'Mg18 Hg6'
_cell_length_a 8.3052
_cell_length_b 8.3052
_cell_length_c 8.6089
_cell_angle_alpha 90.00
_cell_angle_beta 90.00
_cell_angle_gamma 120.00
_space_group_name_H-M_alt 'P 63 c m'
_space_group_IT_number 185
_space_group_name_Hall 'P 6c -2'
loop_
_atom_site_label
_atom_site_type_symbol
_atom_site_fract_x
_atom_site_fract_y
_atom_site_fract_z
_atom_site_occupancy
Mg1 Mg 0.0000 0.0000 0.2486 1
Mg2 Mg 0.0000 0.2755 0.0000 1
Mg3 Mg 0.0000 0.3759 0.3413 1
Mg4 Mg 0.3333 0.6667 0.1130 1
Hg1 Hg 0.0000 0.3293 0.6718 1
```

Output
Energy of formation   -199 meV per atom
Electronic total energy   -1.629 eV per atom
DOS(E_F)   0.35 states/eV/atom
Total magnetic moment   0.00 μB/cell

Entry 2:
CsHg3Au: relaxed, GGA-PBEsol.

```
data_CsHg3Au
_chemical_formula_sum 'Cs4 Hg12 Au4'
_cell_length_a 7.184
_cell_length_b 11.322
_cell_length_c 7.205
_cell_angle_alpha 90.00
_cell_angle_beta 90.00
_cell_angle_gamma 90.00
_space_group_name_H-M_alt 'C m c m'
_space_group_IT_number 63
_space_group_name_Hall '-C 2c 2'
loop_
_atom_site_label
_atom_site_type_symbol
_atom_site_fract_x
_atom_site_fract_y
_atom_site_fract_z
_atom_site_occupancy
Cs1 Cs 0.000 0.238 0.250 1
Hg1 Hg 0.000 0.121 0.750 1
Hg2 Hg 0.225 0.500 0.000 1
Au1 Au 0.000 0.366 0.750 1
```

Output
Energy of formation   -194 meV per atom
Excess energy over the best structure of this formula in the dataset   0.000 eV/atom
Electronic total energy   -1.507 eV per atom
DOS(E_F)   0.28 states/eV/atom
Total magnetic moment   0.00 μB/cell

Entry 3:
BaPSN2: relaxed, GGA-PBEsol.

```
data_BaPSN2
_chemical_formula_sum 'Ba1 P1 S1 N2'
_cell_length_a 4.311
_cell_length_b 4.311
_cell_length_c 6.300
_cell_angle_alpha 90.00
_cell_angle_beta 90.00
_cell_angle_gamma 90.00
_space_group_name_H-M_alt 'P 4/m m m'
_space_group_IT_number 123
_space_group_name_Hall '-P 4 2'
loop_
_atom_site_label
_atom_site_type_symbol
_atom_site_fract_x
_atom_site_fract_y
_atom_site_fract_z
_atom_site_occupancy
Ba1 Ba 0.000 0.000 0.000 1
P1 P 0.500 0.500 0.500 1
S1 S 0.000 0.000 0.500 1
N1 N 0.000 0.500 0.000 1
```

Output
Electronic total energy   -3.771 eV per atom
DOS(E_F)   0.89 states/eV/atom
Total magnetic moment   2.87 μB/cell

Entry 4:
YMg2Ag2: relaxed, GGA-PBEsol.

```
data_YMg2Ag2
_chemical_formula_sum 'Y2 Mg4 Ag4'
_cell_length_a 4.104
_cell_length_b 4.104
_cell_length_c 12.800
_cell_angle_alpha 90.00
_cell_angle_beta 90.00
_cell_angle_gamma 90.00
_space_group_name_H-M_alt 'I 4/m m m'
_space_group_IT_number 139
_space_group_name_Hall '-I 4 2'
loop_
_atom_site_label
_atom_site_type_symbol
_atom_site_fract_x
_atom_site_fract_y
_atom_site_fract_z
_atom_site_occupancy
Y1 Y 0.000 0.000 0.000 1
Mg1 Mg 0.000 0.500 0.250 1
Ag1 Ag 0.000 0.000 0.396 1
```

Output
Energy of formation   -208 meV per atom
Electronic total energy   -3.584 eV per atom
DOS(E_F)   0.59 states/eV/atom
Total magnetic moment   0.00 μB/cell